{
  "formula": "LaHo4Th5",
  "functional": "PBE",
  "state": "relaxed",
  "lattice": [[-2.773, 2.137, -0.508], [-3.102, -5.369, -5.663], [-4.364, -6.660, 8.110]],
  "species": ["Th", "Th", "Th", "Th", "Th", "Ho", "Ho", "Ho", "Ho", "La"],
  "fractional_positions": [[0.884, 0.331, 0.769], [0.236, 0.336, 0.473], [0.116, 0.669, 0.231], [0.500, 0.500, 0.000], [0.764, 0.664, 0.527], [0.679, 0.990, 0.359], [0.907, 0.739, 0.813], [0.093, 0.261, 0.187], [0.321, 0.010, 0.641], [0.500, 0.000, 0.000]],
  "dft_energy_ev_per_atom": -5.8346,
  "sg": "C2/m, No. 12"
}